! GGA-PBE RbNdFeSe3, optimized geometry; values from VASP
&SYSTEM
  ibrav = 0, nat = 24, ntyp = 4
/
ATOMIC_SPECIES
Rb 85.47 Rb.upf
Se 78.96 Se.upf
Nd 144.24 Nd.upf
Fe 55.84 Fe.upf
ATOMIC_POSITIONS crystal
Rb 0.6695 0.0000 0.4946
Rb 0.1695 0.0000 0.0054
Rb 0.8305 0.5000 0.9946
Rb 0.3305 0.5000 0.5054
Se 0.5572 0.5000 0.6744
Se 0.7113 0.5000 0.2940
Se 0.7887 0.0000 0.7940
Se 0.2887 0.0000 0.7060
Se 0.9428 0.0000 0.1744
Se 0.6058 0.0000 0.0598
Se 0.1058 0.0000 0.4402
Se 0.4428 0.0000 0.3256
Se 0.0572 0.5000 0.8256
Se 0.2113 0.5000 0.2060
Se 0.8942 0.5000 0.5598
Se 0.3942 0.5000 0.9402
Nd 0.0226 0.0000 0.6712
Nd 0.4774 0.5000 0.1712
Nd 0.5226 0.0000 0.8288
Nd 0.9774 0.5000 0.3288
Fe 0.7398 0.0000 0.2066
Fe 0.2398 0.0000 0.2934
Fe 0.7602 0.5000 0.7066
Fe 0.2602 0.5000 0.7934
CELL_PARAMETERS angstrom
-8.2608 1.0679 -8.1499
1.2094 -3.8811 -1.7344
-8.3204 -6.0097 7.6461
! * SG: Pnma (62)


! GGA-PBE Nd4FeS7, optimized geometry; values from VASP
&SYSTEM
  ibrav = 0, nat = 24, ntyp = 3
/
ATOMIC_SPECIES
S 32.06 S.upf
Nd 144.24 Nd.upf
Fe 55.84 Fe.upf
ATOMIC_POSITIONS crystal
S 0.9567 0.0969 0.0004
S 0.3725 0.1726 0.5983
S 0.0433 0.5969 0.9996
S 0.7266 0.1745 0.6224
S 0.0164 0.5113 0.5842
S 0.2735 0.6745 0.3776
S 0.6275 0.6726 0.4017
S 0.9836 0.0113 0.4158
S 0.5927 0.9947 0.0580
S 0.4073 0.4947 0.9420
S 0.8216 0.4423 0.1723
S 0.3826 0.1673 0.2495
S 0.1784 0.9423 0.8278
S 0.6174 0.6673 0.7505
Nd 0.8750 0.7915 0.6994
Nd 0.8765 0.8144 0.1423
Nd 0.2903 0.7446 0.6686
Nd 0.1250 0.2915 0.3006
Nd 0.1235 0.3144 0.8577
Nd 0.6487 0.2762 0.8786
Nd 0.3513 0.7762 0.1214
Nd 0.7097 0.2446 0.3314
Fe 0.4897 0.9818 0.4830
Fe 0.5103 0.4818 0.5170
CELL_PARAMETERS angstrom
9.6824 0.0000 0.0000
0.0000 6.8854 0.0000
-4.7687 0.0000 8.5738
! * SG: P2_1 (4)


| no. | total energy (eV for the cell shown) |
| --- | --- |
| 1 | -125.5 |
| 2 | -152.2 |